YPdF3: optimized geometry, PBE-GGA.

Unit cell a=4.364 b=4.364 c=4.364 alpha=90.00 beta=90.00 gamma=90.00
Positions (direct):
F1 0.500 0.000 0.000
F2 0.000 0.000 0.500
F3 0.000 0.500 0.000
Y1 0.500 0.500 0.500
Pd1 0.000 0.000 0.000

Results
Total moment (μB/atom): 0.002
ΔE to the lowest computed polymorph (meV per atom): 1182
Symmetry: Pm-3m (221)